[1]
The following is a DFT calculation (PBE+U) of an optimized crystal structure of Rb2WF7.

Results
Total DFT energy (no corrections) (eV/atom): -5.06

Cell: 14.0683 6.8896 10.2755 Å, 90.00 130.76 90.00°
Space group C2/c (No. 15)
One atom of each set of equivalent atoms:
Rb 0.1548 0.1498 0.2389 [8 per cell]
W 0.0000 0.3130 0.7500 [4 per cell]
F 0.0000 0.3905 0.2500 [4 per cell]
F 0.0731 0.0721 0.9030 [8 per cell]
F 0.1185 0.3099 0.7081 [8 per cell]
F 0.1372 0.3979 0.9876 [8 per cell]

[2]
The following is a DFT calculation (PBE+U) of an optimized crystal structure of Rb3WF7.

Results
Total DFT energy (no corrections) (eV/atom): -4.92

Cell: 8.4932 8.4932 6.0732 Å, 90.00 90.00 90.00°
Space group P4/mbm (No. 127)
One atom of each set of equivalent atoms:
Rb 0.0000 0.0000 0.0000 [2 per cell]
Rb 0.1962 0.3038 0.5000 [4 per cell]
W 0.0000 0.5000 0.0000 [2 per cell]
F 0.0000 0.0000 0.5000 [2 per cell]
F 0.1143 0.6143 0.2375 [8 per cell]
F 0.1709 0.3291 0.0000 [4 per cell]